# BaCaInBi2 GGA-PBE relaxed
# Symmetry: P4/mmm, No. 123
# N(E_F) (states/eV per atom): 0.83
# Energy relative to the elements (eV/f.u.): -0.558
# Raw total energy (eV per atom): -2.9966
# ρ (kg/m³): 5719
data_BaCaInBi2
_chemical_formula_sum 'Ba1 Ca1 In1 Bi2'
_space_group_name_H-M_alt 'P 1'
_space_group_IT_number 1
_cell_length_a 6.0384
_cell_length_b 6.0384
_cell_length_c 5.6551
_cell_angle_alpha 90.00
_cell_angle_beta 90.00
_cell_angle_gamma 90.00
loop_
_space_group_symop_operation_xyz
'x,y,z'
loop_
_atom_site_label
_atom_site_type_symbol
_atom_site_fract_x
_atom_site_fract_y
_atom_site_fract_z
Ba1 Ba 0.0000 0.0000 0.0000
Ca1 Ca 0.5000 0.5000 0.0000
In1 In 0.5000 0.5000 0.5000
Bi1 Bi 0.0000 0.5000 0.5000
Bi2 Bi 0.5000 0.0000 0.5000